Record 1
K4SiO4: PBEsol geometry, SCAN.

## Properties
Crystal system   monoclinic

a = 10.2953 Å, b = 6.4053 Å, c = 10.2850 Å
α = 90.00°, β = 112.21°, γ = 90.00°
Last column: nearest neighbours and their distance in Å.
Space group P2_1/c (No. 14)
Symmetry-distinct sites (fractional):
K  0.0624  0.0916  0.1980 x4  5 O 2.63-2.92
K  0.1591  0.6100  0.0834 x4  4 O 2.58-2.70
K  0.3683  0.6673  0.8894 x4  4 O 2.55-2.65
K  0.4260  0.1891  0.7959 x4  5 O 2.64-2.83
Si  0.2415  0.1315  0.9900 x4  4 O 1.66-1.67
O  0.0878  0.2363  0.9699 x4  1 Si 1.66
O  0.2210  0.9996  0.8446 x4  1 Si 1.66
O  0.3006  0.5244  0.6305 x4  1 Si 1.67
O  0.3571  0.1754  0.5138 x4  1 Si 1.67


Record 2
K2Si4O9: PBEsol geometry, SCAN.

## Properties
E above lowest polymorph   0.0062 eV per atom
Crystal system   triclinic

a = 4.9650 Å, b = 8.3912 Å, c = 12.2420 Å
α = 70.52°, β = 89.84°, γ = 88.69°
Last column: nearest neighbours and their distance in Å.
Space group P-1 (No. 2)
Symmetry-distinct sites (fractional):
K  0.2342  0.4331  0.1352 x2  5 O 2.67-2.96
K  0.2541  0.9001  0.6577 x2  5 O 2.66-2.93
Si  0.2075  0.9407  0.1459 x2  4 O 1.62-1.63
Si  0.2101  0.7039  0.4019 x2  4 O 1.62-1.63
Si  0.2788  0.3155  0.4449 x2  4 O 1.57-1.66
Si  0.2944  0.8300  0.9383 x2  4 O 1.57-1.66
O  0.0946  0.2534  0.5648 x2  2 Si 1.63-1.66
O  0.1052  0.9940  0.8601 x2  2 Si 1.63-1.66
O  0.2277  0.5213  0.3837 x2  2 Si 1.62-1.65
O  0.2332  0.2156  0.3585 x2  1 Si 1.57
O  0.2434  0.8053  0.0770 x2  2 Si 1.63-1.66
O  0.2511  0.6634  0.9089 x2  1 Si 1.57
O  0.2907  0.8481  0.2810 x2  2 Si 1.62-1.63
O  0.3937  0.1041  0.0911 x2  2 Si 1.62-1.65
O  0.4081  0.7144  0.5045 x2  2 Si 1.62-1.66


Record 3
K2Si4O9: PBEsol geometry, SCAN.

## Properties
E above lowest polymorph   0.0000 eV per atom
Crystal system   hexagonal

a = 6.6190 Å, b = 6.6190 Å, c = 9.5784 Å
α = 90.00°, β = 90.00°, γ = 120.00°
Last column: nearest neighbours and their distance in Å.
Space group P6_3/m (No. 176)
Symmetry-distinct sites (fractional):
K  0.3333  0.6667  0.0569 x4  9 O 2.77-3.01
Si  0.0000  0.0000  0.0000 x2  6 O 1.79
Si  0.1300  0.7656  0.7500 x6  4 O 1.61-1.67
O  0.0189  0.7877  0.6056 x12  2 Si 1.61-1.79
O  0.0715  0.4893  0.7500 x6  2 Si 1.65-1.67


Record 4
K6Si2O7: PBEsol geometry, SCAN.

## Properties
Crystal system   monoclinic

a = 6.4215 Å, b = 8.8524 Å, c = 10.8507 Å
α = 90.00°, β = 124.68°, γ = 90.00°
Last column: nearest neighbours and their distance in Å.
Space group P2_1/c (No. 14)
Symmetry-distinct sites (fractional):
K  0.0322  0.1490  0.4155 x4  5 O 2.72-2.91
K  0.2072  0.5272  0.4557 x4  5 O 2.61-2.89
K  0.3976  0.2167  0.2772 x4  6 O 2.70-2.89
Si  0.3244  0.6370  0.8738 x4  4 O 1.64-1.69
O  0.0698  0.6600  0.8730 x4  1 Si 1.64
O  0.2574  0.5828  0.7108 x4  1 Si 1.64
O  0.4939  0.2127  0.0652 x4  1 Si 1.64
O  0.5000  0.0000  0.5000 x2  2 Si 1.69


Record 5
K4SrSi3O9: PBEsol geometry, SCAN.

## Properties
Crystal system   orthorhombic

a = 10.9922 Å, b = 7.9509 Å, c = 11.9087 Å
α = 90.00°, β = 90.00°, γ = 90.00°
Last column: nearest neighbours and their distance in Å.
Space group Ama2 (No. 40)
Symmetry-distinct sites (fractional):
K  0.0000  0.0000  0.0000 x4  4 O 2.55-2.72
K  0.0000  0.0000  0.4396 x4  5 O 2.80-2.86
K  0.2500  0.0557  0.6550 x4  8 O 2.80-3.05
K  0.2500  0.2233  0.9479 x4  6 O 2.70-2.89
Sr  0.2500  0.4898  0.7086 x4  6 O 2.37-2.57
Si  0.0310  0.3057  0.2285 x8  4 O 1.61-1.68
Si  0.2500  0.2770  0.4075 x4  4 O 1.60-1.67
O  0.0000  0.0000  0.6799 x4  2 Si 1.68
O  0.0915  0.2802  0.7764 x8  1 Si 1.61
O  0.1041  0.2111  0.1300 x8  1 Si 1.61
O  0.1280  0.3418  0.3352 x8  2 Si 1.67-1.68
O  0.2500  0.0737  0.4167 x4  1 Si 1.62
O  0.2500  0.3786  0.5238 x4  1 Si 1.60


Record 6
K3TmSi2O7: PBEsol geometry, SCAN.

## Properties
Crystal system   hexagonal

a = 9.7699 Å, b = 9.7699 Å, c = 14.2565 Å
α = 90.00°, β = 90.00°, γ = 120.00°
Last column: nearest neighbours and their distance in Å.
Space group P6_3/mcm (No. 193)
Symmetry-distinct sites (fractional):
K  0.0000  0.0000  0.0000 x2  6 O 2.73
K  0.0000  0.3329  0.0910 x12  8 O 2.72-2.98
K  0.3333  0.6667  0.2500 x4  9 O 2.89-2.95
Tm  0.0000  0.0000  0.2500 x2  6 O 2.24
Tm  0.3333  0.6667  0.0000 x4  6 O 2.19
Si  0.0000  0.3419  0.6423 x12  4 O 1.63-1.68
O  0.0000  0.1753  0.6490 x12  1 Si 1.63
O  0.0000  0.4116  0.7500 x6  2 Si 1.68
O  0.1576  0.4791  0.5902 x24  1 Si 1.63


Record 7
K2ZnSiO4: PBEsol geometry, SCAN.

## Properties
Crystal system   orthorhombic

a = 10.8642 Å, b = 5.4104 Å, c = 15.5937 Å
α = 90.00°, β = 90.00°, γ = 90.00°
Last column: nearest neighbours and their distance in Å.
Space group Pca2_1 (No. 29)
Symmetry-distinct sites (fractional):
K  0.0151  0.0067  0.0000 x4  5 O 2.60-2.90
K  0.0161  0.5058  0.6232 x4  5 O 2.63-2.94
K  0.2334  0.0531  0.3760 x4  6 O 2.75-3.06
K  0.2384  0.5504  0.2441 x4  6 O 2.68-3.00
Zn  0.0092  0.0095  0.7503 x4  4 O 1.95
Zn  0.2409  0.5359  0.4974 x4  4 O 1.94-1.97
Si  0.0078  0.5122  0.8726 x4  4 O 1.65
Si  0.2348  0.0320  0.1264 x4  4 O 1.64-1.65
O  0.0130  0.7832  0.3515 x4  1 Si 1.65
O  0.0256  0.3298  0.2851 x4  1 Si 1.65
O  0.0827  0.4120  0.4533 x4  1 Si 1.65
O  0.1042  0.9037  0.1578 x4  1 Si 1.65
O  0.1514  0.5771  0.8992 x4  1 Si 1.65
O  0.1768  0.0693  0.7111 x4  1 Si 1.64
O  0.2023  0.3026  0.0839 x4  1 Si 1.65
O  0.2016  0.8487  0.5548 x4  1 Si 1.65


Record 8
K2Zn2Si8O19: PBEsol geometry, SCAN.

## Properties
Crystal system   monoclinic

a = 13.8632 Å, b = 5.0989 Å, c = 12.4816 Å
α = 90.00°, β = 107.09°, γ = 90.00°
Last column: nearest neighbours and their distance in Å.
Space group C2 (No. 5)
Symmetry-distinct sites (fractional):
K  0.1217  0.0000  0.1475 x4  8 O 2.80-3.11
Zn  0.2000  0.0427  0.9118 x4  4 O 1.90-2.01
Si  0.0037  0.6763  0.6671 x4  4 O 1.61-1.62
Si  0.0739  0.5331  0.9256 x4  4 O 1.60-1.66
Si  0.1254  0.1881  0.4254 x4  4 O 1.62
Si  0.2054  0.9518  0.6607 x4  4 O 1.60-1.64
O  0.0000  0.6358  0.0000 x2  2 Si 1.66
O  0.0143  0.6429  0.7994 x4  2 Si 1.62-1.65
O  0.0356  0.4046  0.3985 x4  2 Si 1.62
O  0.0800  0.9052  0.3758 x4  2 Si 1.62
O  0.0842  0.2199  0.9324 x4  1 Si 1.60
O  0.1084  0.7569  0.6448 x4  2 Si 1.61-1.64
O  0.1781  0.1686  0.5592 x4  2 Si 1.62-1.64
O  0.1825  0.6857  0.9667 x4  1 Si 1.64
O  0.2050  0.2618  0.3576 x4  2 Si 1.62-1.64
O  0.2431  0.0835  0.7818 x4  1 Si 1.60


Record 9
K2ZrSi3O9: PBEsol geometry, SCAN.

## Properties
Crystal system   hexagonal

a = 6.9209 Å, b = 6.9209 Å, c = 10.2711 Å
α = 90.00°, β = 90.00°, γ = 120.00°
Last column: nearest neighbours and their distance in Å.
Space group P6_3/m (No. 176)
Symmetry-distinct sites (fractional):
K  0.3333  0.6667  0.0547 x4  3 O 2.79
Zr  0.0000  0.0000  0.0000 x2  6 O 2.08
Si  0.1229  0.7382  0.7500 x6  4 O 1.61-1.66
O  0.0139  0.7605  0.6161 x12  1 Si 1.61
O  0.0873  0.4824  0.7500 x6  2 Si 1.65-1.66


One value per record, in order, for raw formation energy: -2.238; -2.885; -2.891; -2.395; -2.793; -2.994; -2.355; -2.806; -3.091 eV/atom.
One value per record, in order, for density of states at the Fermi level: 0.00; 0.00; 0.00; 0.00; 0.00; 0.00; 0.00; 0.00; 0.00 states/eV/atom.